(1)
# ZrCr2Si GGA-PBE relaxed
# **D(E_F)**: 3.8 states/eV/cell
# **Size of the total moment**: 0.082 μB/f.u.
# **Energy relative to the elements, uncorrected**: 2 meV per atom
data_ZrCr2Si
_cell_length_a 4.905
_cell_length_b 4.905
_cell_length_c 4.905
_cell_angle_alpha 133.31
_cell_angle_beta 133.31
_cell_angle_gamma 68.17
_symmetry_space_group_name_H-M 'P 1'
_symmetry_Int_Tables_number 1
_symmetry_space_group_name_Hall 'P 1'
loop_
_atom_site_label
_atom_site_fract_x
_atom_site_fract_y
_atom_site_fract_z
Cr1 0.000 0.000 0.000
Cr2 0.250 0.750 0.500
Si1 0.500 0.500 0.000
Zr1 0.750 0.250 0.500

=====

(2)
# V2AgGe2 GGA-PBE relaxed
# **D(E_F)**: 5.2 states/eV/cell
# **Energy above the lowest structure with this stoichiometry**: 0.214 eV/atom
# **Size of the total moment**: 1.424 μB/f.u.
# **Formation energy**: 0.235 eV/atom
data_V2AgGe2
_cell_length_a 3.938
_cell_length_b 3.938
_cell_length_c 6.188
_cell_angle_alpha 71.45
_cell_angle_beta 71.45
_cell_angle_gamma 90.00
_symmetry_space_group_name_H-M 'P 1'
_symmetry_Int_Tables_number 1
_symmetry_space_group_name_Hall 'P 1'
loop_
_atom_site_label
_atom_site_fract_x
_atom_site_fract_y
_atom_site_fract_z
Ge1 0.390 0.390 0.220
Ge2 0.610 0.610 0.780
Ag1 0.000 0.000 0.000
V1 0.750 0.250 0.500
V2 0.250 0.750 0.500

=====

(3)
# Pm8Ge3AuSe4 GGA-PBE relaxed
# **D(E_F)**: 8.3 states/eV/cell
# **Size of the total moment**: 0.000 μB/f.u.
# **Energy relative to the elements, uncorrected**: -1364 meV per atom
data_Pm8Ge3AuSe4
_cell_length_a 8.476
_cell_length_b 8.531
_cell_length_c 8.476
_cell_angle_alpha 119.79
_cell_angle_beta 120.00
_cell_angle_gamma 90.00
_symmetry_space_group_name_H-M 'P 1'
_symmetry_Int_Tables_number 1
_symmetry_space_group_name_Hall 'P 1'
loop_
_atom_site_label
_atom_site_fract_x
_atom_site_fract_y
_atom_site_fract_z
Pm1 0.253 0.747 0.994
Pm2 0.253 0.747 0.506
Pm3 0.253 0.259 0.506
Pm4 0.740 0.747 0.994
Pm5 0.260 0.253 0.006
Pm6 0.747 0.741 0.494
Pm7 0.747 0.253 0.494
Pm8 0.747 0.253 0.006
Ge1 0.500 0.500 0.000
Ge2 0.500 0.500 0.500
Ge3 0.000 0.500 0.500
Au1 0.000 0.500 0.000
Se1 0.500 0.000 0.000
Se2 0.500 0.000 0.500
Se3 0.000 0.000 0.000
Se4 0.000 0.000 0.500

=====

(4)
# TcAsAu2 GGA-PBE relaxed
# **D(E_F)**: 3.3 states/eV/cell
# **Size of the total moment**: 0.000 μB/f.u.
# **Formation energy**: 0.307 eV/atom
data_TcAsAu2
_cell_length_a 6.672
_cell_length_b 6.672
_cell_length_c 6.672
_cell_angle_alpha 156.31
_cell_angle_beta 139.33
_cell_angle_gamma 47.61
_symmetry_space_group_name_H-M 'P 1'
_symmetry_Int_Tables_number 1
_symmetry_space_group_name_Hall 'P 1'
loop_
_atom_site_label
_atom_site_fract_x
_atom_site_fract_y
_atom_site_fract_z
As1 0.308 0.808 0.500
Au1 0.025 0.025 0.000
Au2 0.688 0.188 0.500
Tc1 0.480 0.480 0.000

=====

(5)
# NdPaMn GGA-PBE relaxed
# **D(E_F)**: 2.4 states/eV/cell
# **Energy above the lowest structure with this stoichiometry**: 0.000 eV/atom
# **Size of the total moment**: 0.000 μB/f.u.
# **Formation energy**: 0.056 eV/atom
data_NdPaMn
_cell_length_a 4.070
_cell_length_b 4.070
_cell_length_c 5.157
_cell_angle_alpha 90.00
_cell_angle_beta 90.00
_cell_angle_gamma 120.00
_symmetry_space_group_name_H-M 'P 1'
_symmetry_Int_Tables_number 1
_symmetry_space_group_name_Hall 'P 1'
loop_
_atom_site_label
_atom_site_fract_x
_atom_site_fract_y
_atom_site_fract_z
Pa1 0.667 0.333 0.500
Nd1 0.000 0.000 0.000
Mn1 0.333 0.667 0.500

=====

(6)
# AcLa8 GGA-PBE relaxed
# **D(E_F)**: 18.5 states/eV/cell
# **Size of the total moment**: 0.000 μB/f.u.
# **Formation energy**: 0.010 eV/atom
data_AcLa8
_cell_length_a 5.317
_cell_length_b 8.390
_cell_length_c 8.390
_cell_angle_alpha 84.24
_cell_angle_beta 71.53
_cell_angle_gamma 71.53
_symmetry_space_group_name_H-M 'P 1'
_symmetry_Int_Tables_number 1
_symmetry_space_group_name_Hall 'P 1'
loop_
_atom_site_label
_atom_site_fract_x
_atom_site_fract_y
_atom_site_fract_z
Ac1 0.000 0.000 0.000
La1 0.330 0.000 0.339
La2 0.670 0.000 0.661
La3 0.664 0.336 0.336
La4 0.330 0.339 0.000
La5 0.000 0.336 0.664
La6 0.670 0.661 0.000
La7 0.336 0.664 0.664
La8 0.000 0.664 0.336

=====

(7)
# LiZn2GaAg GGA-PBE relaxed
# **D(E_F)**: 2.8 states/eV/cell
# **Size of the total moment**: 0.000 μB/f.u.
# **Formation energy**: -0.127 eV/atom
data_LiZn2GaAg
_cell_length_a 4.492
_cell_length_b 4.898
_cell_length_c 7.522
_cell_angle_alpha 108.61
_cell_angle_beta 90.00
_cell_angle_gamma 90.00
_symmetry_space_group_name_H-M 'P 1'
_symmetry_Int_Tables_number 1
_symmetry_space_group_name_Hall 'P 1'
loop_
_atom_site_label
_atom_site_fract_x
_atom_site_fract_y
_atom_site_fract_z
Li1 0.750 0.461 0.602
Li2 0.250 0.539 0.398
Zn1 0.750 0.053 0.786
Zn2 0.250 0.947 0.214
Zn3 0.250 0.121 0.591
Zn4 0.750 0.879 0.409
Ga1 0.250 0.700 0.790
Ga2 0.750 0.300 0.210
Ag1 0.750 0.685 0.998
Ag2 0.250 0.315 0.002

=====

(8)
# Cs3TlCd8 GGA-PBE relaxed
# **D(E_F)**: 6.8 states/eV/cell
# **Size of the total moment**: 0.000 μB/f.u.
# **Formation energy**: -0.007 eV/atom
data_Cs3TlCd8
_cell_length_a 6.539
_cell_length_b 6.539
_cell_length_c 11.584
_cell_angle_alpha 73.61
_cell_angle_beta 73.61
_cell_angle_gamma 60.00
_symmetry_space_group_name_H-M 'P 1'
_symmetry_Int_Tables_number 1
_symmetry_space_group_name_Hall 'P 1'
loop_
_atom_site_label
_atom_site_fract_x
_atom_site_fract_y
_atom_site_fract_z
Cs1 0.375 0.375 0.875
Cs2 0.996 0.996 0.012
Cs3 0.503 0.503 0.492
Tl1 0.876 0.876 0.373
Cd1 0.932 0.434 0.199
Cd2 0.449 0.937 0.677
Cd3 0.434 0.434 0.199
Cd4 0.937 0.937 0.677
Cd5 0.189 0.189 0.432
Cd6 0.687 0.687 0.940
Cd7 0.434 0.932 0.199
Cd8 0.937 0.449 0.677

=====

Q: Which value of size of the total moment does entry 5 give?
A: 0.000 μB/f.u.

=====

Q: D(E_F) of number 6 (AcLa8)?
A: 18.5 states/eV/cell

=====

Please write out number 4 again, unchanged.
# TcAsAu2 GGA-PBE relaxed
# **D(E_F)**: 3.3 states/eV/cell
# **Size of the total moment**: 0.000 μB/f.u.
# **Formation energy**: 0.307 eV/atom
data_TcAsAu2
_cell_length_a 6.672
_cell_length_b 6.672
_cell_length_c 6.672
_cell_angle_alpha 156.31
_cell_angle_beta 139.33
_cell_angle_gamma 47.61
_symmetry_space_group_name_H-M 'P 1'
_symmetry_Int_Tables_number 1
_symmetry_space_group_name_Hall 'P 1'
loop_
_atom_site_label
_atom_site_fract_x
_atom_site_fract_y
_atom_site_fract_z
As1 0.308 0.808 0.500
Au1 0.025 0.025 0.000
Au2 0.688 0.188 0.500
Tc1 0.480 0.480 0.000